The following is a DFT calculation (PBE-GGA) of an optimized crystal structure of AcLaPb2.

Computed properties:
* formation energy: -0.563 eV per atom
* E_tot: -4.676 eV/atom
* SG: No. 38
* Fermi-level density of states: 8.19 states/eV/cell

a b c (Å): 4.6545 4.9352 12.4203
angles (deg): 90.00 90.00 90.00
Fractional positions:
Ac 0.0000 0.0000 0.0000
Ac 0.0000 0.5000 0.5000
La 0.5000 0.0000 0.2679
La 0.5000 0.5000 0.7679
Pb 0.0000 0.0000 0.7277
Pb 0.0000 0.5000 0.2277
Pb 0.5000 0.0000 0.5446
Pb 0.5000 0.5000 0.0446